VASP calculation (PBE) on an optimized crystal structure of Hf2MgCdSe.

Properties
Its magnetic moment is 0.00 μB/cell. The uncorrected formation energy comes out at 1.1227 eV/atom.

Unit cell a=5.257 b=5.257 c=5.285 alpha=90.00 beta=90.00 gamma=90.00
Element x y z (fractional)
Hf 0.000 0.500 0.000
Hf 0.500 0.000 0.000
Mg 0.000 0.000 0.500
Cd 0.500 0.500 0.000
Se 0.500 0.500 0.500

---

VASP calculation (PBE) on an optimized crystal structure of CeTlPdPt.

Properties
Its magnetic moment is 0.39 μB/cell. For the formation enthalpy at 0 K, the calculation gives -624 meV per atom.

Unit cell a=4.921 b=4.921 c=4.921 alpha=60.00 beta=60.00 gamma=60.00
Element x y z (fractional)
Ce 0.000 0.000 0.000
Tl 0.500 0.500 0.500
Pd 0.250 0.250 0.250
Pt 0.750 0.750 0.750

---

VASP calculation (PBE) on an optimized crystal structure of Mg2TcGeN4.

Properties
Its magnetic moment is 2.01 μB/cell. The uncorrected formation energy comes out at -0.2717 eV/atom.

Unit cell a=6.641 b=5.804 c=5.280 alpha=90.00 beta=90.00 gamma=90.00
Element x y z (fractional)
Mg 0.249 0.172 0.000
Mg 0.251 0.828 0.500
Mg 0.749 0.828 0.500
Mg 0.751 0.172 0.000
Tc 0.000 0.677 0.999
Tc 0.500 0.323 0.499
Ge 0.000 0.343 0.507
Ge 0.500 0.657 0.007
N 0.000 0.360 0.869
N 0.000 0.647 0.372
N 0.241 0.181 0.404
N 0.259 0.819 0.904
N 0.500 0.353 0.872
N 0.500 0.640 0.369
N 0.741 0.819 0.904
N 0.759 0.181 0.404

---

VASP calculation (PBE) on an optimized crystal structure of CaTbAgSb.

Properties
Its magnetic moment is 0.00 μB/cell. The uncorrected formation energy comes out at -0.5688 eV/atom.

Unit cell a=5.286 b=5.286 c=5.286 alpha=60.00 beta=60.00 gamma=60.00
Element x y z (fractional)
Ca 0.000 0.000 0.000
Tb 0.500 0.500 0.500
Ag 0.250 0.250 0.250
Sb 0.750 0.750 0.750

---

VASP calculation (PBE) on an optimized crystal structure of Li4CaTl8.

Properties
Its magnetic moment is 0.00 μB/cell. For the formation enthalpy at 0 K, the calculation gives -71 meV per atom.

Unit cell a=8.449 b=8.449 c=8.449 alpha=52.66 beta=52.66 gamma=52.66
Element x y z (fractional)
Li 0.000 0.000 0.000
Li 0.000 0.000 0.500
Li 0.000 0.500 0.000
Li 0.500 0.000 0.000
Ca 0.500 0.500 0.500
Tl 0.237 0.237 0.694
Tl 0.237 0.694 0.237
Tl 0.265 0.265 0.265
Tl 0.306 0.763 0.763
Tl 0.694 0.237 0.237
Tl 0.735 0.735 0.735
Tl 0.763 0.306 0.763
Tl 0.763 0.763 0.306

---

VASP calculation (PBE) on an optimized crystal structure of NaSr4Ir.

Properties
Its magnetic moment is 0.00 μB/cell. For the formation enthalpy at 0 K, the calculation gives -104 meV per atom.

Unit cell a=8.909 b=8.909 c=6.938 alpha=100.39 beta=100.39 gamma=110.39
Element x y z (fractional)
Na 0.124 0.876 0.750
Na 0.876 0.124 0.250
Sr 0.168 0.320 0.881
Sr 0.239 0.559 0.448
Sr 0.320 0.168 0.381
Sr 0.441 0.761 0.052
Sr 0.559 0.239 0.948
Sr 0.680 0.832 0.619
Sr 0.761 0.441 0.552
Sr 0.832 0.680 0.119
Ir 0.500 0.500 0.250
Ir 0.500 0.500 0.750